The following is a DFT calculation (SCAN) of AgTe2Se at its PBEsol-relaxed geometry.

Output
Raw total energy in eV per cell: -124.5
Volume in Å³/f.u.: 91.4
Size of the total moment in μB/atom: 0.00
Energy relative to the elements, uncorrected in meV per atom: 370

Cell: 5.0563 5.0563 5.0563 Å, 60.00 60.00 60.00°
Last column: nearest neighbours and their distance in Å.
Sites, in units of the cell vectors:
1 Ag 0.0000 0.0000 0.0000  4 Se 3.10, 4 Te 3.10
2 Te 0.2500 0.2500 0.2500  4 Te 3.10, 4 Ag 3.10
3 Te 0.5000 0.5000 0.5000  4 Se 3.10, 4 Te 3.10
4 Se 0.7500 0.7500 0.7500  4 Te 3.10, 4 Ag 3.10